Record 1
This record from Alexandria via LeMat-Bulk describes a relaxed structure of SiSbAu2F. The functional is PBE.

The mass density comes out at 7.97 g cm⁻³. For the volume, the calculation gives 117.3 Å³/cell. Its formation energy (no corrections) is 0.044 eV/atom. The value obtained for the magnetic moment is 0.00 μB/cell.

abc: 4.702 4.702 5.305
angles: 90.00 90.00 90.00
Space group P4/mmm (No. 123)
One atom of each set of equivalent atoms:
Si: 0.000 0.000 0.000 (multiplicity 1)
Sb: 0.000 0.000 0.500 (multiplicity 1)
Au: 0.000 0.500 0.000 (multiplicity 2)
F: 0.500 0.500 0.500 (multiplicity 1)

---

Record 2
This record from Alexandria via LeMat-Bulk describes a relaxed structure of Br2Cl4F. The functional is PBE.

The mass density comes out at 2.06 g cm⁻³. For the volume, the calculation gives 517.0 Å³/cell. Its formation energy (no corrections) is 0.010 eV/atom. The value obtained for the magnetic moment is 1.36 μB/cell.

abc: 6.715 6.889 11.312
angles: 84.90 87.66 82.86
Space group P-1 (No. 2)
One atom of each set of equivalent atoms:
Br: 0.000 0.000 0.000 (multiplicity 1)
Br: 0.000 0.500 0.000 (multiplicity 1)
Br: 0.500 0.000 0.000 (multiplicity 1)
Br: 0.500 0.500 0.500 (multiplicity 1)
Cl: 0.002 0.531 0.794 (multiplicity 2)
Cl: 0.011 0.029 0.795 (multiplicity 2)
Cl: 0.486 0.969 0.223 (multiplicity 2)
Cl: 0.494 0.467 0.299 (multiplicity 2)
F: 0.474 0.951 0.376 (multiplicity 2)

---

Record 3
This record from Alexandria via LeMat-Bulk describes a relaxed structure of PuRhAu. The functional is PBE.

The mass density comes out at 14.74 g cm⁻³. For the volume, the calculation gives 122.6 Å³/cell. As for the energy relative to the lowest polymorph listed for this composition: 0.0 meV per atom. The value obtained for the magnetic moment is 10.05 μB/cell.

abc: 4.632 5.008 5.811
angles: 96.92 113.46 90.13
Space group P-1 (No. 2)
One atom of each set of equivalent atoms:
Pu: 0.125 0.304 0.250 (multiplicity 2)
Rh: 0.218 0.833 0.435 (multiplicity 2)
Au: 0.427 0.240 0.855 (multiplicity 2)

---

Record 4
This record from Alexandria via LeMat-Bulk describes a relaxed structure of AcThRh2. The functional is PBE.

The mass density comes out at 10.48 g cm⁻³. For the volume, the calculation gives 316.1 Å³/cell. As for the energy relative to the lowest polymorph listed for this composition: 124.6 meV per atom. The value obtained for the magnetic moment is 0.00 μB/cell.

abc: 4.0868 4.0868 21.8500
angles: 90.00 90.00 120.00
Space group R3m (No. 160, hexagonal axes)
One atom of each set of equivalent atoms:
Ac: 0.0000 0.0000 0.0000 (multiplicity 3)
Th: 0.0000 0.0000 0.8278 (multiplicity 3)
Rh: 0.0000 0.0000 0.2376 (multiplicity 3)
Rh: 0.0000 0.0000 0.4205 (multiplicity 3)

---

Record 5
This record from Alexandria via LeMat-Bulk describes a relaxed structure of Li4CrPt. The functional is PBE.

The mass density comes out at 5.48 g cm⁻³. Its energy is -92.2 eV/cell. For the volume, the calculation gives 332.9 Å³/cell. The value obtained for the magnetic moment is 17.46 μB/cell.

abc: 6.930 6.930 6.930
angles: 90.00 90.00 90.00
Space group F-43m (No. 216)
One atom of each set of equivalent atoms:
Li: 0.124 0.124 0.124 (multiplicity 16)
Cr: 0.000 0.000 0.500 (multiplicity 4)
Pt: 0.250 0.250 0.750 (multiplicity 4)

---

Record 6
This record from Alexandria via LeMat-Bulk describes a relaxed structure of CaMnP2. The functional is PBE.

The mass density comes out at 3.67 g cm⁻³. For the volume, the calculation gives 283.8 Å³/cell. As for the energy relative to the lowest polymorph listed for this composition: 988.5 meV per atom. The value obtained for the magnetic moment is 14.40 μB/cell.

abc: 6.572 6.572 6.572
angles: 90.00 90.00 90.00
Space group F-43m (No. 216)
One atom of each set of equivalent atoms:
Ca: 0.000 0.000 0.000 (multiplicity 4)
Mn: 0.250 0.250 0.250 (multiplicity 4)
P: 0.000 0.000 0.500 (multiplicity 4)
P: 0.250 0.250 0.750 (multiplicity 4)

---

Record 7
This record from Alexandria via LeMat-Bulk describes a relaxed structure of Nd2Ni2Pt15. The functional is PBE.

The mass density comes out at 16.68 g cm⁻³. Its energy is -357.0 eV/cell. For the volume, the calculation gives 995.1 Å³/cell. The value obtained for the magnetic moment is 4.50 μB/cell.

abc: 9.2448 9.2448 13.4438
angles: 90.00 90.00 120.00
Space group R-3m (No. 166, hexagonal axes)
One atom of each set of equivalent atoms:
Nd: 0.0000 0.0000 0.1639 (multiplicity 6)
Ni: 0.0000 0.0000 0.4061 (multiplicity 6)
Pt: 0.0000 0.3063 0.5000 (multiplicity 18)
Pt: 0.0000 0.5000 0.0000 (multiplicity 9)
Pt: 0.9997 0.4999 0.3444 (multiplicity 18)

---

Record 8
This record from Alexandria via LeMat-Bulk describes a relaxed structure of BPt. The functional is PBE.

The mass density comes out at 11.27 g cm⁻³. Its energy is -74.7 eV/cell. For the volume, the calculation gives 182.0 Å³/cell. The value obtained for the magnetic moment is 0.00 μB/cell.

abc: 9.142 3.554 5.602
angles: 90.00 90.00 90.00
Space group Pmn2_1 (No. 31)
One atom of each set of equivalent atoms:
B: 0.000 0.114 0.000 (multiplicity 2)
B: 0.201 0.386 0.326 (multiplicity 4)
Pt: 0.000 0.607 0.217 (multiplicity 2)
Pt: 0.223 0.118 0.973 (multiplicity 4)

---

Record 9
This record from Alexandria via LeMat-Bulk describes a relaxed structure of LiSmPd. The functional is PBE.

The mass density comes out at 6.19 g cm⁻³. For the volume, the calculation gives 141.5 Å³/cell. As for the energy relative to the lowest polymorph listed for this composition: 94.7 meV per atom. The value obtained for the magnetic moment is 0.00 μB/cell.

abc: 4.646 3.600 8.463
angles: 90.00 90.00 90.00
Space group Pmma (No. 51)
One atom of each set of equivalent atoms:
Li: 0.250 0.000 0.088 (multiplicity 2)
Sm: 0.250 0.500 0.681 (multiplicity 2)
Pd: 0.250 0.000 0.396 (multiplicity 2)

---

Record 10
This record from Alexandria via LeMat-Bulk describes a relaxed structure of Pm9Tm4Zn11. The functional is PBE.

The mass density comes out at 7.68 g cm⁻³. Its energy is -160.5 eV/cell. For the volume, the calculation gives 1168.1 Å³/cell. The value obtained for the magnetic moment is 0.66 μB/cell.

abc: 15.280 21.872 3.495
angles: 90.00 90.00 90.00
Space group Cmmm (No. 65)
One atom of each set of equivalent atoms:
Pm: 0.000 0.000 0.000 (multiplicity 2)
Pm: 0.115 0.242 0.000 (multiplicity 8)
Pm: 0.121 0.414 0.000 (multiplicity 8)
Tm: 0.158 0.093 0.000 (multiplicity 8)
Zn: 0.000 0.134 0.500 (multiplicity 4)
Zn: 0.000 0.332 0.500 (multiplicity 4)
Zn: 0.000 0.500 0.500 (multiplicity 2)
Zn: 0.239 0.321 0.500 (multiplicity 8)
Zn: 0.248 0.000 0.500 (multiplicity 4)

---

Record 11
This record from Alexandria via LeMat-Bulk describes a relaxed structure of In2BRh4. The functional is PBE.

The mass density comes out at 9.53 g cm⁻³. Its energy is -86.6 eV/cell. For the volume, the calculation gives 227.1 Å³/cell. The value obtained for the magnetic moment is 0.01 μB/cell.

abc: 4.094 4.094 13.551
angles: 90.00 90.00 90.00
Space group I4/mmm (No. 139)
One atom of each set of equivalent atoms:
In: 0.000 0.000 0.145 (multiplicity 4)
B: 0.000 0.000 0.500 (multiplicity 2)
Rh: 0.000 0.000 0.344 (multiplicity 4)
Rh: 0.000 0.500 0.000 (multiplicity 4)

---

Record 12
This record from Alexandria via LeMat-Bulk describes a relaxed structure of MgSiPb. The functional is PBE.

The mass density comes out at 6.23 g cm⁻³. For the volume, the calculation gives 138.4 Å³/cell. Its formation energy (no corrections) is 0.243 eV/atom. As for the energy relative to the lowest polymorph listed for this composition: 28.4 meV per atom. The value obtained for the magnetic moment is 0.00 μB/cell.

abc: 3.252 4.000 10.644
angles: 90.00 90.00 90.00
Space group Imm2 (No. 44)
One atom of each set of equivalent atoms:
Mg: 0.000 0.000 0.000 (multiplicity 2)
Si: 0.000 0.000 0.387 (multiplicity 2)
Pb: 0.000 0.000 0.700 (multiplicity 2)

---

Record 13
This record from Alexandria via LeMat-Bulk describes a relaxed structure of Ac5La8Y. The functional is PBE.

The mass density comes out at 7.04 g cm⁻³. Its energy is -66.1 eV/cell. For the volume, the calculation gives 550.4 Å³/cell. The value obtained for the magnetic moment is 0.00 μB/cell.

abc: 6.612 10.091 10.096
angles: 110.99 102.76 108.83
Space group P1 (No. 1)
One atom of each set of equivalent atoms:
Ac: 0.000 0.000 0.000 (multiplicity 1)
Ac: 0.070 0.571 0.350 (multiplicity 1)
Ac: 0.147 0.139 0.712 (multiplicity 1)
Ac: 0.576 0.571 0.860 (multiplicity 1)
Ac: 0.924 0.425 0.638 (multiplicity 1)
La: 0.222 0.716 0.073 (multiplicity 1)
La: 0.285 0.281 0.422 (multiplicity 1)
La: 0.360 0.857 0.783 (multiplicity 1)
La: 0.430 0.426 0.142 (multiplicity 1)
La: 0.500 0.997 0.495 (multiplicity 1)
La: 0.640 0.140 0.209 (multiplicity 1)
La: 0.708 0.711 0.564 (multiplicity 1)
La: 0.855 0.859 0.286 (multiplicity 1)
Y: 0.788 0.283 0.926 (multiplicity 1)

---

Record 14
This record from Alexandria via LeMat-Bulk describes a relaxed structure of InReBr2. The functional is PBE.

The mass density comes out at 7.97 g cm⁻³. For the volume, the calculation gives 384.1 Å³/cell. Its formation energy (no corrections) is 1.163 eV/atom. As for the energy relative to the lowest polymorph listed for this composition: 993.6 meV per atom. The value obtained for the magnetic moment is 16.27 μB/cell.

abc: 7.269 7.269 7.269
angles: 90.00 90.00 90.00
Space group F-43m (No. 216)
One atom of each set of equivalent atoms:
In: 0.000 0.000 0.000 (multiplicity 4)
Re: 0.250 0.250 0.750 (multiplicity 4)
Br: 0.000 0.000 0.500 (multiplicity 4)
Br: 0.250 0.250 0.250 (multiplicity 4)

---

Record 15
This record from Alexandria via LeMat-Bulk describes a relaxed structure of LiAc2AgPb6. The functional is PBE.

The mass density comes out at 9.70 g cm⁻³. Its energy is -74.6 eV/cell. For the volume, the calculation gives 620.2 Å³/cell. The value obtained for the magnetic moment is 0.00 μB/cell.

abc: 8.217 10.327 7.309
angles: 90.00 90.00 90.00
Space group Pmmn (No. 59, origin choice 2)
One atom of each set of equivalent atoms:
Li: 0.250 0.250 0.083 (multiplicity 2)
Ac: 0.250 0.001 0.729 (multiplicity 4)
Ag: 0.250 0.750 0.401 (multiplicity 2)
Pb: 0.052 0.250 0.428 (multiplicity 4)
Pb: 0.052 0.750 0.039 (multiplicity 4)
Pb: 0.250 0.002 0.225 (multiplicity 4)

---

Record 16
This record from Alexandria via LeMat-Bulk describes a relaxed structure of Li2CdOs. The functional is PBE.

The mass density comes out at 8.57 g cm⁻³. Its energy is -30.1 eV/cell. For the volume, the calculation gives 122.7 Å³/cell. The value obtained for the magnetic moment is 0.00 μB/cell.

abc: 5.558 8.374 2.635
angles: 90.00 90.00 90.00
Space group Cmmm (No. 65)
One atom of each set of equivalent atoms:
Li: 0.250 0.250 0.000 (multiplicity 4)
Cd: 0.000 0.000 0.500 (multiplicity 2)
Os: 0.000 0.500 0.500 (multiplicity 2)

---

Record 17
This record from Alexandria via LeMat-Bulk describes a relaxed structure of LaNb3Cr. The functional is PBE.

The mass density comes out at 7.06 g cm⁻³. For the volume, the calculation gives 110.5 Å³/cell. As for the energy relative to the lowest polymorph listed for this composition: 0.0 meV per atom. The value obtained for the magnetic moment is 0.00 μB/cell.

abc: 4.798 4.798 4.798
angles: 90.00 90.00 90.00
Space group Pm-3m (No. 221)
One atom of each set of equivalent atoms:
La: 0.000 0.000 0.000 (multiplicity 1)
Nb: 0.000 0.500 0.500 (multiplicity 3)
Cr: 0.500 0.500 0.500 (multiplicity 1)

---

Record 18
This record from Alexandria via LeMat-Bulk describes a relaxed structure of LaTeAu2. The functional is PBE.

The mass density comes out at 9.80 g cm⁻³. For the volume, the calculation gives 111.9 Å³/cell. Its formation energy (no corrections) is -0.657 eV/atom. The value obtained for the magnetic moment is 0.00 μB/cell.

abc: 4.002 4.457 6.273
angles: 90.00 90.00 90.00
Space group Pmm2 (No. 25)
One atom of each set of equivalent atoms:
La: 0.000 0.000 0.000 (multiplicity 1)
Te: 0.500 0.500 0.752 (multiplicity 1)
Au: 0.500 0.000 0.452 (multiplicity 1)
Au: 0.500 0.500 0.204 (multiplicity 1)

---

Record 19
This record from Alexandria via LeMat-Bulk describes a relaxed structure of Ac2PbI. The functional is PBE.

The mass density comes out at 7.84 g cm⁻³. For the volume, the calculation gives 501.1 Å³/cell. Its formation energy (no corrections) is -0.762 eV/atom. As for the energy relative to the lowest polymorph listed for this composition: 51.0 meV per atom. The value obtained for the magnetic moment is 0.00 μB/cell.

abc: 4.8072 4.8072 25.0367
angles: 90.00 90.00 120.00
Space group R3m (No. 160, hexagonal axes)
One atom of each set of equivalent atoms:
Ac: 0.0000 0.0000 0.0000 (multiplicity 3)
Ac: 0.0000 0.0000 0.1898 (multiplicity 3)
Pb: 0.0000 0.0000 0.5935 (multiplicity 3)
I: 0.0000 0.0000 0.7634 (multiplicity 3)

---

Record 20
This record from Alexandria via LeMat-Bulk describes a relaxed structure of Gd2ErHg. The functional is PBE.

The mass density comes out at 10.13 g cm⁻³. For the volume, the calculation gives 111.8 Å³/cell. As for the energy relative to the lowest polymorph listed for this composition: 43.0 meV per atom. The value obtained for the magnetic moment is 15.50 μB/cell.

abc: 4.791 4.791 4.872
angles: 90.00 90.00 90.00
Space group P4/mmm (No. 123)
One atom of each set of equivalent atoms:
Gd: 0.000 0.500 0.000 (multiplicity 2)
Er: 0.000 0.000 0.500 (multiplicity 1)
Hg: 0.500 0.500 0.500 (multiplicity 1)